*one*
The following is a PBE calculation of Ti4Al2Ga after structural relaxation, from Alexandria via LeMat-Bulk.

Results
Space group: Cmmm (65)
Fermi-level density of states in states/eV per cell: 8.5

a b c (Å): 9.613 9.613 2.855
angles (deg): 90.00 90.00 152.28
Atoms (fractional coordinates):
Ti 0.083 0.917 0.000
Ti 0.369 0.631 0.500
Ti 0.631 0.369 0.500
Ti 0.917 0.083 0.000
Al 0.213 0.787 0.500
Al 0.787 0.213 0.500
Ga 0.500 0.500 0.000



*two*
The following is a PBE calculation of Ti4Al2Ga after structural relaxation, from Alexandria via LeMat-Bulk.

Results
Space group: I4/mmm (139)
Fermi-level density of states in states/eV per cell: 6.6

a b c (Å): 7.642 7.642 7.642
angles (deg): 145.30 145.30 49.88
Atoms (fractional coordinates):
Ti 0.000 0.500 0.500
Ti 0.177 0.177 0.000
Ti 0.500 0.000 0.500
Ti 0.823 0.823 0.000
Al 0.374 0.374 0.000
Al 0.626 0.626 0.000
Ga 0.000 0.000 0.000



Quick look at relative energies in eV/atom: *one* 0.000; *two* 0.444.